{
  "formula": "TaNbHg2As",
  "functional": "PBE",
  "state": "optimized geometry",
  "lattice_angstrom": [[5.3082, 0.0000, 0.0000], [0.0000, 5.3082, 0.0000], [0.0000, 0.0000, 4.8722]],
  "species": ["Ta", "Nb", "Hg", "Hg", "As"],
  "fractional_positions": [[0.0000, 0.0000, 0.0000], [0.5000, 0.5000, 0.5000], [0.0000, 0.5000, 0.0000], [0.5000, 0.0000, 0.0000], [0.0000, 0.0000, 0.5000]]
}



{
  "formula": "CuBiPt3",
  "functional": "PBE",
  "state": "optimized geometry",
  "lattice_angstrom": [[6.6136, 0.0000, 0.0000], [-3.3068, 5.7275, 0.0000], [0.0000, 0.0000, 4.8174]],
  "species": ["Cu", "Cu", "Bi", "Bi", "Pt", "Pt", "Pt", "Pt", "Pt", "Pt"],
  "fractional_positions": [[0.0000, 0.0000, 0.0000], [0.0000, 0.0000, 0.5000], [0.3333, 0.6667, 0.2500], [0.6667, 0.3333, 0.7500], [0.1938, 0.3876, 0.7500], [0.1938, 0.8062, 0.7500], [0.3876, 0.1938, 0.2500], [0.6124, 0.8062, 0.7500], [0.8062, 0.1938, 0.2500], [0.8062, 0.6124, 0.2500]],
  "de_polymorph_ev_per_fu": 0.00
}



{
  "formula": "Ti6VW2",
  "functional": "PBE",
  "state": "optimized geometry",
  "lattice_angstrom": [[2.5165, -7.0285, 0.0000], [2.5165, 7.0285, 0.0000], [-1.9275, 0.0000, 4.1602]],
  "species": ["Ti", "Ti", "Ti", "Ti", "Ti", "Ti", "V", "W", "W"],
  "fractional_positions": [[0.0221, 0.3423, 0.3383], [0.1893, 0.1893, 0.8405], [0.3423, 0.0221, 0.3383], [0.6577, 0.9779, 0.6617], [0.8107, 0.8107, 0.1595], [0.9779, 0.6577, 0.6617], [0.5000, 0.5000, 0.5000], [0.3299, 0.6701, 0.0000], [0.6701, 0.3299, 0.0000]]
}



{
  "formula": "LaHg2As2Pd7",
  "functional": "PBE",
  "state": "optimized geometry",
  "lattice_angstrom": [[2.8769, -2.8657, 0.0000], [2.8769, 2.8657, 0.0000], [-1.9881, 0.0000, 14.6456]],
  "species": ["La", "Hg", "Hg", "As", "As", "Pd", "Pd", "Pd", "Pd", "Pd", "Pd", "Pd"],
  "fractional_positions": [[0.0000, 0.0000, 0.0000], [0.1209, 0.1209, 0.4062], [0.8791, 0.8791, 0.5938], [0.4129, 0.4129, 0.7468], [0.5871, 0.5871, 0.2532], [0.0535, 0.5537, 0.1553], [0.3771, 0.3771, 0.5820], [0.4463, 0.9465, 0.8447], [0.5000, 0.5000, 0.0000], [0.5537, 0.0535, 0.1553], [0.6229, 0.6229, 0.4180], [0.9465, 0.4463, 0.8447]]
}



{
  "formula": "CeGdZrAl",
  "functional": "PBE",
  "state": "optimized geometry",
  "lattice_angstrom": [[0.0000, 3.6359, 3.6359], [3.6359, 0.0000, 3.6359], [3.6359, 3.6359, 0.0000]],
  "species": ["Ce", "Gd", "Zr", "Al"],
  "fractional_positions": [[0.0000, 0.0000, 0.0000], [0.2500, 0.2500, 0.2500], [0.7500, 0.7500, 0.7500], [0.5000, 0.5000, 0.5000]]
}



{
  "formula": "CsIrOs3",
  "functional": "PBE",
  "state": "optimized geometry",
  "lattice_angstrom": [[4.8249, 0.0000, 0.0000], [0.0000, 4.8249, 0.0000], [0.0000, 0.0000, 4.8249]],
  "species": ["Cs", "Ir", "Os", "Os", "Os"],
  "fractional_positions": [[0.0000, 0.0000, 0.0000], [0.5000, 0.5000, 0.5000], [0.0000, 0.0000, 0.5000], [0.0000, 0.5000, 0.0000], [0.5000, 0.0000, 0.0000]],
  "de_polymorph_ev_per_fu": 10.27
}



| no. | size of the total moment (μB/cell) | E_form (kcal/mol of atoms) |
| --- | --- | --- |
| 1 | 3.089 | 26.29 |
| 2 | 0.000 | 2.53 |
| 3 | 0.529 | 2.51 |
| 4 | 0.000 | -8.59 |
| 5 | 7.429 | -0.26 |
| 6 | 3.907 | 100.47 |